Here is a geometry-optimized PaNi2Pd structure from Alexandria. Energies are from PBE.

Geometry as POSCAR:
```
PaNi2Pd
1.0
3.480 0.000 0.000
0.000 3.480 0.000
0.000 0.000 5.342
Pa Ni Pd
1 2 1
direct
0.000 0.000 0.000
0.500 0.500 0.249
0.500 0.500 0.751
0.000 0.000 0.500
```

Values from the calculation:
The value obtained for the energy is -6.907 eV/atom. The value obtained for the energy above the most stable polymorph in this dataset is 42 meV/atom. The calculation puts the density of states at the Fermi level at 0.3625 states/eV per atom. The space-group type is P4/mmm (123). The value obtained for the size of the total moment is 0.00 μB/atom. The crystal system is tetragonal.